Here is a geometry-optimized YZnFeAs structure from the Open Quantum Materials Database. Energies are from PBE-GGA.

Computed properties:
The calculation puts the total energy at -5.149 eV/atom.

Unit cell a=4.637 b=4.637 c=4.637 alpha=60.00 beta=60.00 gamma=60.00
Sites, in units of the cell vectors:
As  0.000  0.000  0.000
Fe  0.750  0.750  0.750
Y  0.500  0.500  0.500
Zn  0.250  0.250  0.250


Here is a geometry-optimized Cs4As2Pt structure from the Open Quantum Materials Database. Energies are from PBE-GGA.

Computed properties:
The calculation puts the total energy at -3.081 eV/atom.

Unit cell a=10.283 b=10.283 c=10.283 alpha=35.07 beta=35.07 gamma=35.07
Sites, in units of the cell vectors:
As  0.082  0.082  0.082
As  0.918  0.918  0.918
Cs  0.210  0.210  0.210
Cs  0.370  0.370  0.370
Cs  0.630  0.630  0.630
Cs  0.790  0.790  0.790
Pt  0.000  0.000  0.000


Here is a geometry-optimized RbTlPt structure from the Open Quantum Materials Database. Energies are from PBE-GGA.

Computed properties:
The calculation puts the total energy at -2.523 eV/atom.

Unit cell a=5.311 b=5.311 c=5.311 alpha=60.00 beta=60.00 gamma=60.00
Sites, in units of the cell vectors:
Pt  0.250  0.250  0.250
Rb  0.000  0.000  0.000
Tl  0.750  0.750  0.750


Here is a geometry-optimized Zr2H structure from the Open Quantum Materials Database. Energies are from PBE-GGA.

Computed properties:
The calculation puts the total energy at -7.061 eV/atom.

Unit cell a=3.250 b=3.250 c=21.484 alpha=91.70 beta=91.70 gamma=61.12
Sites, in units of the cell vectors:
H  0.814  0.814  0.274
H  0.148  0.148  0.344
H  0.852  0.852  0.656
H  0.186  0.186  0.726
Zr  0.182  0.182  0.060
Zr  0.850  0.850  0.178
Zr  0.479  0.479  0.309
Zr  0.162  0.162  0.442
Zr  0.838  0.838  0.558
Zr  0.521  0.521  0.691
Zr  0.150  0.150  0.822
Zr  0.818  0.818  0.940


Here is a geometry-optimized PdI2F2 structure from the Open Quantum Materials Database. Energies are from PBE-GGA.

Computed properties:
The calculation puts the total energy at -3.092 eV/atom.

Unit cell a=6.382 b=6.382 c=6.382 alpha=113.69 beta=109.43 gamma=105.40
Sites, in units of the cell vectors:
F  0.750  0.038  0.287
F  0.250  0.537  0.287
F  0.750  0.463  0.713
F  0.250  0.962  0.713
I  0.757  0.500  0.257
I  0.257  0.000  0.257
I  0.743  0.000  0.743
I  0.243  0.500  0.743
Pd  0.250  0.250  0.000
Pd  0.750  0.750  0.000


Here is a geometry-optimized SmTeAuO structure from the Open Quantum Materials Database. Energies are from PBE-GGA.

Computed properties:
The calculation puts the total energy at -5.352 eV/atom.

Unit cell a=4.579 b=5.799 c=6.928 alpha=90.00 beta=90.00 gamma=90.00
Sites, in units of the cell vectors:
Au  0.000  0.147  0.090
Au  0.000  0.853  0.590
O  0.500  0.035  0.184
O  0.500  0.965  0.684
Sm  0.500  0.223  0.454
Sm  0.500  0.777  0.954
Te  0.000  0.604  0.263
Te  0.000  0.396  0.763


Here is a geometry-optimized DyLuAg2Pb2 structure from the Open Quantum Materials Database. Energies are from PBE-GGA.

Computed properties:
The calculation puts the total energy at -4.063 eV/atom.

Unit cell a=4.788 b=4.788 c=7.432 alpha=90.00 beta=90.00 gamma=120.00
Sites, in units of the cell vectors:
Ag  0.667  0.333  0.177
Ag  0.333  0.667  0.674
Dy  0.000  0.000  0.994
Lu  0.000  0.000  0.496
Pb  0.333  0.667  0.274
Pb  0.667  0.333  0.771


Here is a geometry-optimized YErNO structure from the Open Quantum Materials Database. Energies are from PBE-GGA.

Computed properties:
The calculation puts the total energy at -8.281 eV/atom.

Unit cell a=6.575 b=8.031 c=4.898 alpha=90.00 beta=90.00 gamma=90.00
Sites, in units of the cell vectors:
Er  0.570  0.379  0.051
Er  0.070  0.621  0.051
Er  0.930  0.379  0.551
Er  0.430  0.621  0.551
N  0.434  0.128  0.050
N  0.934  0.872  0.050
N  0.066  0.128  0.550
N  0.566  0.872  0.550
O  0.904  0.372  0.051
O  0.404  0.628  0.051
O  0.596  0.372  0.551
O  0.096  0.628  0.551
Y  0.083  0.128  0.050
Y  0.583  0.872  0.050
Y  0.417  0.128  0.550
Y  0.917  0.872  0.550


Here is a geometry-optimized Cu7Ag3 structure from the Open Quantum Materials Database. Energies are from PBE-GGA.

Computed properties:
The energy of formation from the pure elements is 0.0917 eV per atom.

Unit cell a=4.645 b=2.733 c=10.956 alpha=90.00 beta=96.94 gamma=90.00
Sites, in units of the cell vectors:
Ag  0.706  0.500  0.104
Ag  0.000  0.000  0.500
Ag  0.294  0.500  0.896
Cu  0.203  0.000  0.108
Cu  0.115  0.500  0.298
Cu  0.587  0.000  0.306
Cu  0.500  0.500  0.500
Cu  0.413  0.000  0.694
Cu  0.885  0.500  0.702
Cu  0.797  0.000  0.892


Here is a geometry-optimized Y2Lu4In3C3 structure from the Open Quantum Materials Database. Energies are from PBE-GGA.

Computed properties:
The calculation puts the total energy at -6.023 eV/atom.

Unit cell a=6.142 b=6.142 c=16.400 alpha=79.23 beta=79.23 gamma=60.04
Sites, in units of the cell vectors:
C  0.667  0.166  0.000
C  0.000  0.500  0.000
C  0.333  0.834  0.000
C  0.166  0.667  0.500
C  0.500  0.000  0.500
C  0.834  0.333  0.500
In  0.581  0.809  0.250
In  0.970  0.030  0.250
In  0.191  0.419  0.250
In  0.809  0.581  0.750
In  0.030  0.970  0.750
In  0.419  0.191  0.750
Lu  0.307  0.143  0.079
Lu  0.976  0.805  0.079
Lu  0.195  0.024  0.421
Lu  0.857  0.693  0.421
Lu  0.143  0.307  0.579
Lu  0.805  0.976  0.579
Lu  0.024  0.195  0.921
Lu  0.693  0.857  0.921
Y  0.634  0.470  0.089
Y  0.530  0.366  0.411
Y  0.470  0.634  0.589
Y  0.366  0.530  0.911


Here is a geometry-optimized Ba7Ga5AgSe15 structure from the Open Quantum Materials Database. Energies are from PBE-GGA.

Computed properties:
The calculation puts the total energy at -4.332 eV/atom.

Unit cell a=10.186 b=10.186 c=18.968 alpha=90.00 beta=90.00 gamma=120.00
Sites, in units of the cell vectors:
Ag  0.333  0.667  0.143
Ag  0.667  0.333  0.643
Ba  0.000  0.000  0.179
Ba  0.604  0.026  0.293
Ba  0.422  0.396  0.293
Ba  0.974  0.578  0.293
Ba  0.352  0.080  0.483
Ba  0.920  0.272  0.483
Ba  0.728  0.648  0.483
Ba  0.000  0.000  0.679
Ba  0.396  0.422  0.793
Ba  0.026  0.604  0.793
Ba  0.578  0.974  0.793
Ba  0.080  0.352  0.983
Ba  0.648  0.728  0.983
Ba  0.272  0.920  0.983
Ga  0.646  0.109  0.094
Ga  0.464  0.354  0.094
Ga  0.891  0.536  0.094
Ga  0.000  0.000  0.371
Ga  0.333  0.667  0.423
Ga  0.354  0.464  0.594
Ga  0.109  0.646  0.594
Ga  0.536  0.891  0.594
Ga  0.000  0.000  0.871
Ga  0.667  0.333  0.923
Se  0.255  0.376  0.136
Se  0.121  0.745  0.136
Se  0.624  0.879  0.136
Se  0.428  0.118  0.141
Se  0.882  0.310  0.141
Se  0.690  0.572  0.141
Se  0.333  0.667  0.299
Se  0.229  0.020  0.318
Se  0.980  0.209  0.318
Se  0.791  0.771  0.318
Se  0.667  0.333  0.392
Se  0.337  0.441  0.465
Se  0.104  0.663  0.465
Se  0.559  0.896  0.465
Se  0.000  0.000  0.500
Se  0.745  0.121  0.636
Se  0.376  0.255  0.636
Se  0.879  0.624  0.636
Se  0.118  0.428  0.641
Se  0.572  0.690  0.641
Se  0.310  0.882  0.641
Se  0.667  0.333  0.799
Se  0.020  0.229  0.818
Se  0.771  0.791  0.818
Se  0.209  0.980  0.818
Se  0.333  0.667  0.892
Se  0.663  0.104  0.965
Se  0.441  0.337  0.965
Se  0.896  0.559  0.965
Se  0.000  0.000  0.000


Here is a geometry-optimized AcYTm structure from the Open Quantum Materials Database. Energies are from PBE-GGA.

Computed properties:
The energy of formation from the pure elements is 0.6790 eV per atom.

Unit cell a=5.638 b=5.638 c=5.638 alpha=60.00 beta=60.00 gamma=60.00
Sites, in units of the cell vectors:
Ac  0.250  0.250  0.250
Tm  0.000  0.000  0.000
Y  0.750  0.750  0.750